Record 1
DFT (PBE-GGA) results for a geometry-optimized Tb2Sm4TmMg structure.

Values from the calculation:
The calculation puts the calculated formation energy at 0.013 eV per atom.

The structure in CIF format:
```
data_Tb2Sm4TmMg
_space_group_name_H-M_alt 'P 4/m m m'
_space_group_IT_number 123
_space_group_name_Hall '-P 4 2'
_cell_length_a 5.031
_cell_length_b 5.031
_cell_length_c 9.960
_cell_angle_alpha 90.00
_cell_angle_beta 90.00
_cell_angle_gamma 90.00
loop_
_atom_site_label
_atom_site_fract_x
_atom_site_fract_y
_atom_site_fract_z
_atom_site_occupancy
Tb1 0.000 0.000 0.000 1
Tb2 0.500 0.500 0.500 1
Sm1 0.000 0.500 0.248 1
Tm1 0.000 0.000 0.500 1
Mg1 0.500 0.500 0.000 1
```

---

Record 2
DFT (PBE-GGA) results for a geometry-optimized Tb6Sm3Tm2Mg structure.

Values from the calculation:
The calculation puts the calculated formation energy at 0.032 eV per atom.

The structure in CIF format:
```
data_Tb6Sm3Tm2Mg
_space_group_name_H-M_alt 'C 1 2/m 1'
_space_group_IT_number 12
_space_group_name_Hall '-C 2y'
_cell_length_a 6.158
_cell_length_b 10.673
_cell_length_c 11.677
_cell_angle_alpha 90.00
_cell_angle_beta 100.21
_cell_angle_gamma 90.00
loop_
_atom_site_label
_atom_site_fract_x
_atom_site_fract_y
_atom_site_fract_z
_atom_site_occupancy
Tb1 0.247 0.166 0.245 1
Tb2 0.248 0.500 0.246 1
Sm1 0.000 0.166 0.500 1
Sm2 0.000 0.500 0.500 1
Tm1 0.000 0.334 0.000 1
Mg1 0.000 0.000 0.000 1
```

---

no.,volume (Å³/cell),D(E_F) (states/eV/atom)
1,252.1,1.423
2,755.3,1.358